SrLiTmS3 | PBE | optimized geometry

a b c (Å): 13.231 3.962 10.279
angles (deg): 90.00 90.00 90.00
Space group Pnma (No. 62)
Symmetry-distinct sites (fractional):
Sr1 0.228 0.250 0.029
Li1 0.006 0.750 0.090
Tm1 0.016 0.250 0.333
S1 0.094 0.750 0.887
S2 0.105 0.250 0.568
S3 0.138 0.750 0.248

Output
The calculation puts the calculated total energy at -5.32 eV per atom. The polymorph energy (0 for the lowest one) is 41 meV per atom.